# 1
! PBE with a Hubbard U PbWO4, optimized geometry; values from VASP
! Polymorph energy (0 for the lowest one) = 0.0362 eV per atom
&SYSTEM
  ibrav = 0, nat = 24, ntyp = 3
/
ATOMIC_SPECIES
Pb 207.20 Pb.upf
W 183.84 W.upf
O 16.00 O.upf
CELL_PARAMETERS angstrom
7.9325 0.0000 0.0000
0.0000 5.8499 0.0000
-2.0826 0.0000 7.6961
ATOMIC_POSITIONS crystal
Pb 0.1307 0.2499 0.4142
Pb 0.1307 0.2501 0.9142
Pb 0.8693 0.7499 0.0858
Pb 0.8693 0.7501 0.5858
W 0.3289 0.7501 0.2265
W 0.3289 0.7499 0.7265
W 0.6711 0.2501 0.2735
W 0.6711 0.2499 0.7735
O 0.1463 0.5271 0.1623
O 0.1459 0.5275 0.6613
O 0.1459 0.9725 0.1613
O 0.1463 0.9729 0.6623
O 0.3365 0.7490 0.9621
O 0.3365 0.7510 0.4621
O 0.4996 0.0005 0.2494
O 0.4996 0.4995 0.7494
O 0.5004 0.5005 0.2506
O 0.5004 0.9995 0.7506
O 0.6635 0.2490 0.5379
O 0.6635 0.2510 0.0379
O 0.8537 0.0271 0.3377
O 0.8541 0.0275 0.8387
O 0.8541 0.4725 0.3387
O 0.8537 0.4729 0.8377


# 2
! PBE with a Hubbard U PbWO4, optimized geometry; values from VASP
! Polymorph energy (0 for the lowest one) = 0.0368 eV per atom
&SYSTEM
  ibrav = 0, nat = 48, ntyp = 3
/
ATOMIC_SPECIES
Pb 207.20 Pb.upf
W 183.84 W.upf
O 16.00 O.upf
CELL_PARAMETERS angstrom
7.5154 0.0000 0.0000
0.0000 7.3001 0.0000
-6.9489 0.0000 13.1540
ATOMIC_POSITIONS crystal
Pb 0.0101 0.2049 0.3422
Pb 0.0101 0.2951 0.8422
Pb 0.4644 0.0670 0.8388
Pb 0.4644 0.4330 0.3388
Pb 0.5356 0.5670 0.6612
Pb 0.5356 0.9330 0.1612
Pb 0.9899 0.7049 0.1578
Pb 0.9899 0.7951 0.6578
W 0.0146 0.6593 0.4221
W 0.0146 0.8407 0.9221
W 0.4079 0.0489 0.5748
W 0.4079 0.4511 0.0748
W 0.5921 0.5489 0.9252
W 0.5921 0.9511 0.4252
W 0.9854 0.1593 0.0779
W 0.9854 0.3407 0.5779
O 0.1450 0.2460 0.7051
O 0.1450 0.2540 0.2051
O 0.1504 0.5581 0.5784
O 0.1504 0.9419 0.0784
O 0.1612 0.0001 0.8824
O 0.1612 0.4999 0.3824
O 0.1652 0.1962 0.5262
O 0.1652 0.3038 0.0262
O 0.2030 0.6556 0.9775
O 0.2030 0.8444 0.4775
O 0.3890 0.1152 0.4325
O 0.3890 0.3848 0.9325
O 0.3912 0.5747 0.1789
O 0.3912 0.9253 0.6789
O 0.4234 0.7297 0.8513
O 0.4234 0.7703 0.3513
O 0.5766 0.2297 0.6487
O 0.5766 0.2703 0.1487
O 0.6088 0.0747 0.3211
O 0.6088 0.4253 0.8211
O 0.6110 0.6152 0.0675
O 0.6110 0.8848 0.5675
O 0.7970 0.1556 0.5225
O 0.7970 0.3444 0.0225
O 0.8348 0.6962 0.9738
O 0.8348 0.8038 0.4738
O 0.8388 0.9999 0.1176
O 0.8388 0.5001 0.6176
O 0.8496 0.0581 0.9216
O 0.8496 0.4419 0.4216
O 0.8550 0.7460 0.7949
O 0.8550 0.7540 0.2949


# 3
! PBE with a Hubbard U PbW4O12, optimized geometry; values from VASP
! DFT total energy = -7.30 eV/atom
&SYSTEM
  ibrav = 0, nat = 17, ntyp = 3
/
ATOMIC_SPECIES
Pb 207.20 Pb.upf
W 183.84 W.upf
O 16.00 O.upf
CELL_PARAMETERS angstrom
-3.9209 3.9209 3.9209
3.9209 -3.9209 3.9209
3.9209 3.9209 -3.9209
ATOMIC_POSITIONS crystal
Pb 0.0000 0.0000 0.0000
W 0.0000 0.0000 0.5000
W 0.0000 0.5000 0.0000
W 0.5000 0.0000 0.0000
W 0.5000 0.5000 0.5000
O 0.0011 0.2479 0.7531
O 0.2469 0.4948 0.2479
O 0.2469 0.9989 0.7521
O 0.2479 0.2469 0.4948
O 0.2479 0.7531 0.0011
O 0.4948 0.2479 0.2469
O 0.5052 0.7521 0.7531
O 0.7521 0.2469 0.9989
O 0.7521 0.7531 0.5052
O 0.7531 0.0011 0.2479
O 0.7531 0.5052 0.7521
O 0.9989 0.7521 0.2469


# 4
! PBE with a Hubbard U PbWO4, optimized geometry; values from VASP
! Polymorph energy (0 for the lowest one) = 0.2497 eV per atom
&SYSTEM
  ibrav = 0, nat = 24, ntyp = 3
/
ATOMIC_SPECIES
Pb 207.20 Pb.upf
W 183.84 W.upf
O 16.00 O.upf
CELL_PARAMETERS angstrom
4.0091 -7.0601 0.0000
4.0091 7.0601 0.0000
0.0000 0.0000 5.5538
ATOMIC_POSITIONS crystal
Pb 0.0861 0.4139 0.2500
Pb 0.4139 0.0861 0.7500
Pb 0.5861 0.9139 0.2500
Pb 0.9139 0.5861 0.7500
W 0.0865 0.9135 0.2921
W 0.4135 0.5865 0.7921
W 0.5865 0.4135 0.2079
W 0.9135 0.0865 0.7079
O 0.0898 0.9102 0.9559
O 0.1163 0.3837 0.7500
O 0.1431 0.1431 0.5000
O 0.1955 0.8045 0.4731
O 0.3045 0.6955 0.9731
O 0.3569 0.3569 0.0000
O 0.3837 0.1163 0.2500
O 0.4102 0.5898 0.4559
O 0.5898 0.4102 0.5441
O 0.6163 0.8837 0.7500
O 0.6431 0.6431 0.0000
O 0.6955 0.3045 0.0269
O 0.8045 0.1955 0.5269
O 0.8569 0.8569 0.5000
O 0.8837 0.6163 0.2500
O 0.9102 0.0898 0.0441


# 5
! PBE with a Hubbard U PbW2O6, optimized geometry; values from VASP
! DFT total energy = -7.15 eV/atom
&SYSTEM
  ibrav = 0, nat = 9, ntyp = 3
/
ATOMIC_SPECIES
Pb 207.20 Pb.upf
W 183.84 W.upf
O 16.00 O.upf
CELL_PARAMETERS angstrom
5.4330 0.0000 0.0000
-2.7165 4.7051 0.0000
0.0000 0.0000 5.3667
ATOMIC_POSITIONS crystal
Pb 0.0000 0.0000 0.0000
W 0.3333 0.6667 0.5000
W 0.6667 0.3333 0.5000
O 0.0000 0.3775 0.7016
O 0.0000 0.6225 0.2984
O 0.3775 0.0000 0.7016
O 0.3775 0.3775 0.2984
O 0.6225 0.0000 0.2984
O 0.6225 0.6225 0.7016


# 6
! PBE with a Hubbard U PbWO4, optimized geometry; values from VASP
! Polymorph energy (0 for the lowest one) = 0.0541 eV per atom
&SYSTEM
  ibrav = 0, nat = 12, ntyp = 3
/
ATOMIC_SPECIES
Pb 207.20 Pb.upf
W 183.84 W.upf
O 16.00 O.upf
CELL_PARAMETERS angstrom
3.7272 -5.8364 0.0000
3.7272 5.8364 0.0000
-2.9051 0.0000 4.1059
ATOMIC_POSITIONS crystal
Pb 0.1425 0.8575 0.7500
Pb 0.8575 0.1425 0.2500
W 0.4094 0.5906 0.2500
W 0.5906 0.4094 0.7500
O 0.1514 0.5456 0.3182
O 0.2656 0.3423 0.8087
O 0.3423 0.2656 0.3087
O 0.4544 0.8486 0.1818
O 0.5456 0.1514 0.8182
O 0.6577 0.7344 0.6913
O 0.7344 0.6577 0.1913
O 0.8486 0.4544 0.6818


# 7
! PBE with a Hubbard U PbWO4, optimized geometry; values from VASP
! Polymorph energy (0 for the lowest one) = 0.0000 eV per atom
&SYSTEM
  ibrav = 0, nat = 24, ntyp = 3
/
ATOMIC_SPECIES
Pb 207.20 Pb.upf
W 183.84 W.upf
O 16.00 O.upf
CELL_PARAMETERS angstrom
5.6491 0.0000 0.0000
0.0000 5.1466 0.0000
-4.9724 0.0000 13.1745
ATOMIC_POSITIONS crystal
Pb 0.1651 0.2278 0.1564
Pb 0.1651 0.2722 0.6564
Pb 0.8349 0.7278 0.3436
Pb 0.8349 0.7722 0.8436
W 0.4067 0.2491 0.9247
W 0.4067 0.2509 0.4247
W 0.5933 0.7491 0.5753
W 0.5933 0.7509 0.0753
O 0.1023 0.1246 0.3401
O 0.1023 0.3754 0.8401
O 0.2698 0.5543 0.4686
O 0.2698 0.9457 0.9686
O 0.3750 0.0595 0.5529
O 0.3750 0.4405 0.0529
O 0.4994 0.6200 0.6792
O 0.4994 0.8800 0.1792
O 0.5006 0.1200 0.8208
O 0.5006 0.3800 0.3208
O 0.6250 0.5595 0.9471
O 0.6250 0.9405 0.4471
O 0.7302 0.0543 0.0314
O 0.7302 0.4457 0.5314
O 0.8977 0.6246 0.1599
O 0.8977 0.8754 0.6599


# 8
! PBE with a Hubbard U PbWO4, optimized geometry; values from VASP
! Polymorph energy (0 for the lowest one) = 0.0644 eV per atom
&SYSTEM
  ibrav = 0, nat = 12, ntyp = 3
/
ATOMIC_SPECIES
Pb 207.20 Pb.upf
W 183.84 W.upf
O 16.00 O.upf
CELL_PARAMETERS angstrom
7.3969 -1.9504 0.0000
7.3969 1.9504 0.0000
-2.4372 0.0000 7.3805
ATOMIC_POSITIONS crystal
Pb 0.1816 0.1816 0.2738
Pb 0.8184 0.8184 0.7262
W 0.0956 0.0956 0.6794
W 0.9044 0.9044 0.3206
O 0.0403 0.0403 0.3793
O 0.1318 0.1318 0.9217
O 0.2194 0.2194 0.6276
O 0.3987 0.3987 0.3386
O 0.6013 0.6013 0.6614
O 0.7806 0.7806 0.3724
O 0.8682 0.8682 0.0783
O 0.9597 0.9597 0.6207


# 9
! PBE with a Hubbard U Pb3WO6, optimized geometry; values from VASP
! Polymorph energy (0 for the lowest one) = 0.0000 eV per atom
&SYSTEM
  ibrav = 0, nat = 20, ntyp = 3
/
ATOMIC_SPECIES
Pb 207.20 Pb.upf
W 183.84 W.upf
O 16.00 O.upf
CELL_PARAMETERS angstrom
5.1551 2.9763 3.7616
-5.1551 2.9763 3.7616
0.0000 -5.9526 3.7616
ATOMIC_POSITIONS crystal
Pb 0.0543 0.5667 0.7537
Pb 0.2463 0.9457 0.4333
Pb 0.4333 0.2463 0.9457
Pb 0.5667 0.7537 0.0543
Pb 0.7537 0.0543 0.5667
Pb 0.9457 0.4333 0.2463
W 0.0000 0.0000 0.0000
W 0.5000 0.5000 0.5000
O 0.0435 0.9127 0.7358
O 0.0873 0.2642 0.9565
O 0.2254 0.5325 0.4489
O 0.2642 0.9565 0.0873
O 0.4489 0.2254 0.5325
O 0.4675 0.5511 0.7746
O 0.5325 0.4489 0.2254
O 0.5511 0.7746 0.4675
O 0.7358 0.0435 0.9127
O 0.7746 0.4675 0.5511
O 0.9127 0.7358 0.0435
O 0.9565 0.0873 0.2642


# 10
! PBE with a Hubbard U YPbWO6, optimized geometry; values from VASP
! DFT total energy = -7.33 eV/atom
&SYSTEM
  ibrav = 0, nat = 9, ntyp = 4
/
ATOMIC_SPECIES
Y 88.91 Y.upf
Pb 207.20 Pb.upf
W 183.84 W.upf
O 16.00 O.upf
CELL_PARAMETERS angstrom
5.6251 0.0000 0.0000
-2.8125 4.8715 0.0000
0.0000 0.0000 4.8722
ATOMIC_POSITIONS crystal
Y 0.0000 0.0000 0.0000
Pb 0.6667 0.3333 0.5000
W 0.3333 0.6667 0.0000
O 0.0469 0.3724 0.2224
O 0.0469 0.6745 0.7776
O 0.3255 0.3724 0.7776
O 0.3255 0.9531 0.2224
O 0.6276 0.6745 0.2224
O 0.6276 0.9531 0.7776


# 11
! PBE with a Hubbard U YPbW2O8, optimized geometry; values from VASP
! DFT total energy = -7.35 eV/atom
&SYSTEM
  ibrav = 0, nat = 12, ntyp = 4
/
ATOMIC_SPECIES
Y 88.91 Y.upf
Pb 207.20 Pb.upf
W 183.84 W.upf
O 16.00 O.upf
CELL_PARAMETERS angstrom
5.4702 0.0000 0.0000
-2.7351 4.7373 0.0000
0.0000 0.0000 9.2341
ATOMIC_POSITIONS crystal
Y 0.0000 0.0000 0.0000
Pb 0.0000 0.0000 0.5000
W 0.3333 0.6667 0.2230
W 0.6667 0.3333 0.7770
O 0.0401 0.3422 0.1525
O 0.3020 0.9599 0.1525
O 0.3333 0.6667 0.4197
O 0.3422 0.3020 0.8475
O 0.6578 0.6980 0.1525
O 0.6667 0.3333 0.5803
O 0.6980 0.0401 0.8475
O 0.9599 0.6578 0.8475


# 12
! PBE with a Hubbard U YPb2WO6, optimized geometry; values from VASP
! DFT total energy = -7.15 eV/atom
&SYSTEM
  ibrav = 0, nat = 20, ntyp = 4
/
ATOMIC_SPECIES
Y 88.91 Y.upf
Pb 207.20 Pb.upf
W 183.84 W.upf
O 16.00 O.upf
CELL_PARAMETERS angstrom
5.8001 0.0000 0.0000
0.0000 6.0308 0.0000
-5.7181 0.0000 8.5361
ATOMIC_POSITIONS crystal
Y 0.0000 0.0000 0.0000
Y 0.0000 0.5000 0.5000
Pb 0.2434 0.0422 0.7331
Pb 0.2434 0.4578 0.2331
Pb 0.7566 0.5422 0.7669
Pb 0.7566 0.9578 0.2669
W 0.5000 0.0000 0.5000
W 0.5000 0.5000 0.0000
O 0.1838 0.1827 0.4811
O 0.1838 0.3173 0.9811
O 0.2835 0.7327 0.4691
O 0.2835 0.7673 0.9691
O 0.3284 0.0258 0.2621
O 0.3284 0.4742 0.7621
O 0.6716 0.5258 0.2379
O 0.6716 0.9742 0.7379
O 0.7165 0.2327 0.0309
O 0.7165 0.2673 0.5309
O 0.8162 0.6827 0.0189
O 0.8162 0.8173 0.5189


# 13
! PBE with a Hubbard U ZrPbWO6, optimized geometry; values from VASP
! DFT total energy = -7.61 eV/atom
&SYSTEM
  ibrav = 0, nat = 18, ntyp = 4
/
ATOMIC_SPECIES
Zr 91.22 Zr.upf
Pb 207.20 Pb.upf
W 183.84 W.upf
O 16.00 O.upf
CELL_PARAMETERS angstrom
-3.7342 3.7515 5.4350
3.7342 -3.7515 5.4350
3.7342 3.7515 -5.4350
ATOMIC_POSITIONS crystal
Zr 0.0000 0.0000 0.0000
Zr 0.5000 0.0000 0.5000
Pb 0.4624 0.7124 0.7500
Pb 0.5376 0.2876 0.2500
W 0.0000 0.0000 0.5000
W 0.0000 0.5000 0.0000
O 0.0526 0.3026 0.7500
O 0.0690 0.3276 0.1318
O 0.0690 0.9372 0.7414
O 0.3042 0.0628 0.6318
O 0.3042 0.6724 0.2414
O 0.3382 0.0882 0.2500
O 0.6619 0.9118 0.7500
O 0.6958 0.3276 0.7586
O 0.6958 0.9372 0.3682
O 0.9310 0.0628 0.2586
O 0.9310 0.6724 0.8682
O 0.9474 0.6974 0.2500